[1]
Compound: AgSe3
Source: Alexandria via LeMat-Bulk
Functional: GGA-PBEsol
Structure: optimized geometry

Cell lengths 4.9268, 4.9268, 3.1446 Å; angles 90.00, 90.00, 90.00 degrees
Last column: nearest neighbours and their distance in Å.
Space group P4/mmm (No. 123)
Asymmetric unit:
Ag1 0.0000 0.0000 0.0000 x1  8 Se 2.92, 2 Ag 3.14
Se1 0.0000 0.5000 0.5000 x2  6 Se 2.92-3.14, 4 Ag 2.92
Se2 0.5000 0.5000 0.0000 x1  10 Se 2.92-3.14

Calculated volume ... 19.08 Å³/atom
Formation energy (no corrections) ... 1.454 eV per formula unit
Spin magnetization ... 0.0 μB/cell

***

[2]
Compound: Ag2Pt
Source: Alexandria via LeMat-Bulk
Functional: GGA-PBEsol
Structure: optimized geometry

Cell lengths 4.0593, 7.9708, 11.7925 Å; angles 90.00, 90.00, 90.00 degrees
Last column: nearest neighbours and their distance in Å.
Space group Immm (No. 71)
Asymmetric unit:
Ag1 0.0000 0.0000 0.0000 x2  4 Ag 2.79, 8 Pt 2.81-2.83
Ag2 0.0000 0.0000 0.3336 x4  8 Ag 2.80-2.85, 4 Pt 2.81-2.85
Ag3 0.0000 0.2491 0.1666 x8  7 Ag 2.79-2.85, 5 Pt 2.82-2.84
Ag4 0.0000 0.5000 0.0000 x2  8 Ag 2.80-2.82, 4 Pt 2.86
Pt1 0.0000 0.2531 0.5000 x4  2 Pt 2.76, 10 Ag 2.81-2.86
Pt2 0.0000 0.5000 0.3357 x4  2 Pt 2.76, 10 Ag 2.81-2.85

Calculated volume ... 15.90 Å³/atom
Spin magnetization ... 0.0 μB/cell
E_form ... 0.094 eV per formula unit

***

[3]
Compound: La3Dy
Source: Alexandria via LeMat-Bulk
Functional: GGA-PBEsol
Structure: optimized geometry

Cell lengths 5.0843, 5.0843, 10.1664 Å; angles 90.00, 90.00, 90.00 degrees
Last column: nearest neighbours and their distance in Å.
Space group I4/mmm (No. 139)
Asymmetric unit:
La1 0.0000 0.0000 0.0000 x2  8 La 3.59, 4 Dy 3.60
La2 0.0000 0.5000 0.2500 x4  8 La 3.59-3.60, 4 Dy 3.59
Dy1 0.0000 0.0000 0.5000 x2  12 La 3.59-3.60

Calculated volume ... 32.85 Å³/atom
Spin magnetization ... 0.0 μB/cell
E_form ... 0.076 eV per formula unit

***

[4]
Compound: AlCu2Ru
Source: Alexandria via LeMat-Bulk
Functional: GGA-PBEsol
Structure: optimized geometry

Cell lengths 3.1586, 3.8734, 4.0558 Å; angles 90.00, 90.00, 90.00 degrees
Last column: nearest neighbours and their distance in Å.
Space group Pmmm (No. 47)
Asymmetric unit:
Al1 0.0000 0.0000 0.0000 x1  4 Ru 2.50, 4 Cu 2.57
Cu1 0.0000 0.5000 0.5000 x1  4 Cu 2.50, 4 Ru 2.57
Cu2 0.5000 0.0000 0.5000 x1  4 Cu 2.50, 4 Al 2.57
Ru1 0.5000 0.5000 0.0000 x1  4 Al 2.50, 4 Cu 2.57

Calculated volume ... 12.41 Å³/atom
Spin magnetization ... 0.0 μB/cell
E_form ... -0.839 eV per formula unit

***

[5]
Compound: BaZrInIr2
Source: Alexandria via LeMat-Bulk
Functional: GGA-PBEsol
Structure: optimized geometry

Cell lengths 4.8761, 4.8761, 5.7727 Å; angles 90.00, 90.00, 90.00 degrees
Last column: nearest neighbours and their distance in Å.
Space group P4/mmm (No. 123)
Asymmetric unit:
Ba1 0.0000 0.0000 0.0000 x1  2 Zr 2.89
Zr1 0.0000 0.0000 0.5000 x1  4 Ir 2.44
In1 0.5000 0.5000 0.0000 x1  4 Ba 3.45, 8 Ir 3.78
Ir1 0.0000 0.5000 0.5000 x2  2 Zr 2.44

Calculated volume ... 27.45 Å³/atom
Spin magnetization ... 0.0 μB/cell
E_form ... 4.902 eV per formula unit

***

[6]
Compound: TaRuRh2
Source: Alexandria via LeMat-Bulk
Functional: GGA-PBEsol
Structure: optimized geometry

Cell lengths 3.8290, 3.8290, 3.8762 Å; angles 90.00, 90.00, 90.00 degrees
Last column: nearest neighbours and their distance in Å.
Space group P4/mmm (No. 123)
Asymmetric unit:
Ta1 0.0000 0.0000 0.0000 x1  4 Ru 2.71, 8 Rh 2.72
Ru1 0.5000 0.5000 0.0000 x1  4 Ta 2.71, 8 Rh 2.72
Rh1 0.0000 0.5000 0.5000 x2  4 Rh 2.71, 4 Ta 2.72, 4 Ru 2.72

Calculated volume ... 14.21 Å³/atom
Spin magnetization ... 0.0 μB/cell
E_form ... -1.889 eV per formula unit

***

[7]
Compound: KPRu
Source: Alexandria via LeMat-Bulk
Functional: GGA-PBEsol
Structure: optimized geometry

Cell lengths 3.7414, 3.7414, 5.6797 Å; angles 90.00, 90.00, 120.00 degrees
Last column: nearest neighbours and their distance in Å.
Space group P3m1 (No. 156)
Asymmetric unit:
K1 0.0000 0.0000 0.0000 x1  3 P 3.29, 6 Ru 3.52-3.62
P1 0.3333 0.6667 0.5640 x1  3 Ru 2.20
Ru1 0.6667 0.3333 0.4883 x1  3 P 2.20

Calculated volume ... 22.95 Å³/atom
Spin magnetization ... 0.0 μB/cell
E_form ... -0.406 eV per formula unit

***

[8]
Compound: TiSb2HRu
Source: Alexandria via LeMat-Bulk
Functional: GGA-PBEsol
Structure: optimized geometry

Cell lengths 5.1568, 5.1568, 3.2459 Å; angles 90.00, 90.00, 90.00 degrees
Last column: nearest neighbours and their distance in Å.
Space group P4/mmm (No. 123)
Asymmetric unit:
Ti1 0.0000 0.0000 0.0000 x1  8 Sb 3.05, 2 Ti 3.25
Sb1 0.0000 0.5000 0.5000 x2  2 Ru 2.58
H1 0.5000 0.5000 0.0000 x1  2 Ru 1.62
Ru1 0.5000 0.5000 0.5000 x1  2 H 1.62

Calculated volume ... 17.26 Å³/atom
Total energy ... -29.78 eV per cell
Spin magnetization ... 0.0 μB/cell

***

[9]
Compound: As2BrCl
Source: Alexandria via LeMat-Bulk
Functional: GGA-PBEsol
Structure: optimized geometry

Cell lengths 3.7210, 3.7210, 6.5034 Å; angles 90.00, 90.00, 90.00 degrees
Last column: nearest neighbours and their distance in Å.
Space group P4/mmm (No. 123)
Asymmetric unit:
As1 0.0000 0.0000 0.1902 x2  1 As 2.47
Br1 0.5000 0.5000 0.0000 x1  8 As 2.91, 2 Cl 3.25
Cl1 0.5000 0.5000 0.5000 x1  2 Br 3.25, 8 As 3.31

Calculated volume ... 22.51 Å³/atom
Formation energy (no corrections) ... 1.667 eV per formula unit
Spin magnetization ... 0.0 μB/cell

***

[10]
Compound: YAg2Au
Source: Alexandria via LeMat-Bulk
Functional: GGA-PBEsol
Structure: optimized geometry

Cell lengths 4.2360, 4.2360, 8.5066 Å; angles 90.00, 90.00, 90.00 degrees
Last column: nearest neighbours and their distance in Å.
Space group I4/mmm (No. 139)
Asymmetric unit:
Y1 0.0000 0.0000 0.0000 x2  4 Au 3.00, 8 Ag 3.00
Ag1 0.0000 0.5000 0.2500 x4  4 Ag 3.00, 4 Y 3.00, 4 Au 3.00
Au1 0.0000 0.0000 0.5000 x2  4 Y 3.00, 8 Ag 3.00

Calculated volume ... 19.08 Å³/atom
Spin magnetization ... 0.0 μB/cell
E_form ... -1.643 eV per formula unit

***

[11]
Compound: YGePdAu2
Source: Alexandria via LeMat-Bulk
Functional: GGA-PBEsol
Structure: optimized geometry

Cell lengths 5.1381, 5.1381, 5.3710 Å; angles 90.00, 90.00, 90.00 degrees
Last column: nearest neighbours and their distance in Å.
Space group P4/mmm (No. 123)
Asymmetric unit:
Y1 0.0000 0.0000 0.0000 x1  4 Au 2.57, 2 Ge 2.69
Ge1 0.0000 0.0000 0.5000 x1  2 Y 2.69
Pd1 0.5000 0.5000 0.5000 x1  4 Ge 3.63, 8 Au 3.72
Au1 0.0000 0.5000 0.0000 x2  2 Y 2.57

Calculated volume ... 28.36 Å³/atom
Spin magnetization ... 0.0 μB/cell
E_form ... 5.324 eV per formula unit

***

[12]
Compound: LaZrSc2
Source: Alexandria via LeMat-Bulk
Functional: GGA-PBEsol
Structure: optimized geometry

Cell lengths 3.3376, 4.4746, 6.7299 Å; angles 90.00, 90.00, 90.00 degrees
Last column: nearest neighbours and their distance in Å.
Space group Pmmm (No. 47)
Asymmetric unit:
La1 0.0000 0.0000 0.0000 x1  2 La 3.34, 8 Sc 3.34, 2 Zr 3.36
Zr1 0.0000 0.0000 0.5000 x1  8 Sc 3.18, 2 Zr 3.34, 2 La 3.36
Sc1 0.5000 0.5000 0.2739 x2  3 Sc 3.04-3.34, 4 Zr 3.18, 4 La 3.34

Calculated volume ... 25.13 Å³/atom
Spin magnetization ... 0.0 μB/cell
E_form ... 0.269 eV per formula unit